! Nd5PaP6 (PBE, optimized geometry); values from VASP
! Spin magnetization: 0.00 μB/cell
! Density of states at the Fermi level: 4.273 states/eV/f.u.
! Uncorrected energy: -84.1 eV for the cell shown
&SYSTEM
  ibrav = 0, nat = 12, ntyp = 3
/
ATOMIC_SPECIES
Nd 144.24 Nd.upf
Pa 231.04 Pa.upf
P 30.97 P.upf
ATOMIC_POSITIONS crystal
Nd 0.0000 0.0000 0.0000
Nd 0.1660 0.8340 0.5000
Nd 0.3308 0.6692 0.0000
Nd 0.6692 0.3308 0.0000
Nd 0.8340 0.1660 0.5000
Pa 0.5000 0.5000 0.5000
P 0.0988 0.4194 0.2575
P 0.2611 0.2611 0.7423
P 0.4194 0.0988 0.2575
P 0.5806 0.9012 0.7425
P 0.7389 0.7389 0.2577
P 0.9012 0.5806 0.7425
CELL_PARAMETERS angstrom
3.5772 -6.1911 0.0000
3.5772 6.1911 0.0000
-2.3816 0.0000 6.7353